The following is a DFT calculation (PBE) of a relaxed AgRhW2 crystal.

POSCAR file:
```
AgRhW2
1.0
4.845 0.000 0.000
0.000 4.845 0.000
0.000 0.000 2.737
Rh W Ag
1 2 1
Cartesian
0.000 0.000 1.369
0.000 2.422 0.000
2.422 0.000 0.000
2.422 2.422 1.369
```

Values from the calculation:
ΔH_f (0 K) (eV/atom): 0.655
Density (Mg/m³): 15.0
Energy above the lowest structure with this stoichiometry (meV per atom): 442
Density of states at the Fermi level (states/eV/f.u.): 3.96